Li2AlInCo | PBE | optimized geometry

Unit cell a=4.617 b=4.617 c=4.992 alpha=90.00 beta=90.00 gamma=90.00
Atoms (fractional coordinates):
Li  0.000  0.500  0.000
Li  0.500  0.000  0.000
Al  0.000  0.000  0.000
In  0.000  0.000  0.500
Co  0.500  0.500  0.500

Calculated values
The value obtained for the total energy is -2.5922 eV per atom. Its spin magnetization is 2.1 μB/f.u. Its calculated formation energy is 0.8907 eV per atom. As for the space-group type: No. 123.